[1]
Below is an optimized crystal structure of Li2NbGa2Os2W, with properties calculated at the PBE level.

Computed properties:
energy = -7.147 eV per atom
space group = P-4m2 (115)

Geometry as POSCAR:
```
Li2NbGa2Os2W
1.0
-3.3624 -0.5319 2.6733
1.6949 -3.7327 1.3891
3.0178 3.0054 4.3938
W Os Li Ga Nb
1 2 2 2 1
direct
0.5000 0.5000 0.0000
0.0000 0.5000 0.7597
0.5000 0.0000 0.2403
0.5000 0.0000 0.7513
0.0000 0.5000 0.2487
0.5000 0.5000 0.5000
0.0000 0.0000 0.0000
0.0000 0.0000 0.5000
```


[2]
Below is an optimized crystal structure of KBaTmS3, with properties calculated at the PBE level.

Computed properties:
energy = -4.941 eV per atom
space group = Cmcm (63)

Geometry as POSCAR:
```
KBaTmS3
1.0
2.0668 -9.1464 0.0000
2.0668 9.1464 0.0000
0.0000 0.0000 11.6610
S K Ba Tm
6 2 2 2
direct
0.4914 0.5086 0.7500
0.0983 0.9017 0.9992
0.0983 0.9017 0.5008
0.5086 0.4914 0.2500
0.9017 0.0983 0.4992
0.9017 0.0983 0.0008
0.1183 0.8817 0.7500
0.8817 0.1183 0.2500
0.8746 0.1254 0.7500
0.1254 0.8746 0.2500
0.5000 0.5000 0.0000
0.5000 0.5000 0.5000
```


[3]
Below is an optimized crystal structure of NaCuNiTe3, with properties calculated at the PBE level.

Computed properties:
energy = -3.614 eV per atom
space group = P2_1/m (11)

Geometry as POSCAR:
```
NaCuNiTe3
1.0
-6.7278 -0.1161 3.7057
-1.8612 -0.7372 -3.4022
3.6658 -8.9756 -0.0606
Na Te Ni Cu
2 6 2 2
direct
0.2414 0.2500 0.7962
0.7586 0.7500 0.2038
0.9019 0.7500 0.6219
0.0981 0.2500 0.3781
0.5467 0.2500 0.3733
0.4533 0.7500 0.6267
0.2796 0.7500 0.0652
0.7204 0.2500 0.9348
0.3130 0.7500 0.3473
0.6870 0.2500 0.6527
0.9318 0.7500 0.9034
0.0682 0.2500 0.0966
```


> energy of number 2 (KBaTmS3)?

-4.941 eV per atom